FeHg2Bi | OQMD via LeMat-Bulk | PBE | optimized geometry; spin magnetization = 3.02 μB per formula unit; symmetry = No. 216; E = -43.05 eV/cell
1.0
7.1860 0.0000 0.0000
0.0000 7.1860 0.0000
0.0000 0.0000 7.1860
Fe Hg Bi
4 8 4
direct
0.0000 0.0000 0.0000
0.0000 0.5000 0.5000
0.5000 0.0000 0.5000
0.5000 0.5000 0.0000
0.0000 0.0000 0.5000
0.0000 0.5000 0.0000
0.2500 0.2500 0.2500
0.2500 0.7500 0.7500
0.5000 0.0000 0.0000
0.5000 0.5000 0.5000
0.7500 0.2500 0.7500
0.7500 0.7500 0.2500
0.2500 0.2500 0.7500
0.2500 0.7500 0.2500
0.7500 0.2500 0.2500
0.7500 0.7500 0.7500



FeHgBiIr | OQMD via LeMat-Bulk | PBE | optimized geometry; spin magnetization = 2.72 μB per formula unit; symmetry = No. 216; E = -77.34 eV/cell
1.0
6.6850 0.0000 0.0000
0.0000 6.6850 0.0000
0.0000 0.0000 6.6850
Fe Hg Bi Ir
4 4 4 4
direct
0.0000 0.0000 0.0000
0.0000 0.5000 0.5000
0.5000 0.0000 0.5000
0.5000 0.5000 0.0000
0.2500 0.2500 0.2500
0.2500 0.7500 0.7500
0.7500 0.2500 0.7500
0.7500 0.7500 0.2500
0.2500 0.2500 0.7500
0.2500 0.7500 0.2500
0.7500 0.2500 0.2500
0.7500 0.7500 0.7500
0.0000 0.0000 0.5000
0.0000 0.5000 0.0000
0.5000 0.0000 0.0000
0.5000 0.5000 0.5000



FeHgBiMo | OQMD via LeMat-Bulk | PBE | optimized geometry; spin magnetization = 2.46 μB per formula unit; symmetry = No. 216; E = -81.51 eV/cell
1.0
6.6750 0.0000 0.0000
0.0000 6.6750 0.0000
0.0000 0.0000 6.6750
Fe Hg Bi Mo
4 4 4 4
direct
0.0000 0.0000 0.0000
0.0000 0.5000 0.5000
0.5000 0.0000 0.5000
0.5000 0.5000 0.0000
0.2500 0.2500 0.2500
0.2500 0.7500 0.7500
0.7500 0.2500 0.7500
0.7500 0.7500 0.2500
0.2500 0.2500 0.7500
0.2500 0.7500 0.2500
0.7500 0.2500 0.2500
0.7500 0.7500 0.7500
0.0000 0.0000 0.5000
0.0000 0.5000 0.0000
0.5000 0.0000 0.0000
0.5000 0.5000 0.5000



FeNiHgBi | OQMD via LeMat-Bulk | PBE | optimized geometry; spin magnetization = 2.92 μB per formula unit; symmetry = No. 216; E = -62.43 eV/cell
1.0
6.7313 0.0000 0.0000
0.0000 6.7313 0.0000
0.0000 0.0000 6.7313
Fe Ni Hg Bi
4 4 4 4
direct
0.0000 0.0000 0.0000
0.0000 0.5000 0.5000
0.5000 0.0000 0.5000
0.5000 0.5000 0.0000
0.2500 0.2500 0.7500
0.2500 0.7500 0.2500
0.7500 0.2500 0.2500
0.7500 0.7500 0.7500
0.2500 0.2500 0.2500
0.2500 0.7500 0.7500
0.7500 0.2500 0.7500
0.7500 0.7500 0.2500
0.0000 0.0000 0.5000
0.0000 0.5000 0.0000
0.5000 0.0000 0.0000
0.5000 0.5000 0.5000



FeNiHgBi | OQMD via LeMat-Bulk | PBE | optimized geometry; spin magnetization = 2.38 μB per formula unit; symmetry = No. 216; E = -66.02 eV/cell
1.0
6.5712 0.0000 0.0000
0.0000 6.5712 0.0000
0.0000 0.0000 6.5712
Fe Ni Hg Bi
4 4 4 4
direct
0.0000 0.0000 0.0000
0.0000 0.5000 0.5000
0.5000 0.0000 0.5000
0.5000 0.5000 0.0000
0.0000 0.0000 0.5000
0.0000 0.5000 0.0000
0.5000 0.0000 0.0000
0.5000 0.5000 0.5000
0.2500 0.2500 0.2500
0.2500 0.7500 0.7500
0.7500 0.2500 0.7500
0.7500 0.7500 0.2500
0.2500 0.2500 0.7500
0.2500 0.7500 0.2500
0.7500 0.2500 0.2500
0.7500 0.7500 0.7500



ScFeHgBi | OQMD via LeMat-Bulk | PBE | optimized geometry; spin magnetization = 1.91 μB per formula unit; symmetry = No. 216; E = -72.89 eV/cell
1.0
7.0213 0.0000 0.0000
0.0000 7.0213 0.0000
0.0000 0.0000 7.0213
Sc Fe Hg Bi
4 4 4 4
direct
0.0000 0.0000 0.0000
0.0000 0.5000 0.5000
0.5000 0.0000 0.5000
0.5000 0.5000 0.0000
0.2500 0.2500 0.7500
0.2500 0.7500 0.2500
0.7500 0.2500 0.2500
0.7500 0.7500 0.7500
0.2500 0.2500 0.2500
0.2500 0.7500 0.7500
0.7500 0.2500 0.7500
0.7500 0.7500 0.2500
0.0000 0.0000 0.5000
0.0000 0.5000 0.0000
0.5000 0.0000 0.0000
0.5000 0.5000 0.5000



ScFeHgBi | OQMD via LeMat-Bulk | PBE | optimized geometry; spin magnetization = 2.00 μB per formula unit; symmetry = No. 216; E = -74.67 eV/cell
1.0
6.9296 0.0000 0.0000
0.0000 6.9296 0.0000
0.0000 0.0000 6.9296
Sc Fe Hg Bi
4 4 4 4
direct
0.0000 0.0000 0.0000
0.0000 0.5000 0.5000
0.5000 0.0000 0.5000
0.5000 0.5000 0.0000
0.0000 0.0000 0.5000
0.0000 0.5000 0.0000
0.5000 0.0000 0.0000
0.5000 0.5000 0.5000
0.2500 0.2500 0.7500
0.2500 0.7500 0.2500
0.7500 0.2500 0.2500
0.7500 0.7500 0.7500
0.2500 0.2500 0.2500
0.2500 0.7500 0.7500
0.7500 0.2500 0.7500
0.7500 0.7500 0.2500



TaFeHgBi | OQMD via LeMat-Bulk | PBE | optimized geometry; spin magnetization = 0.42 μB per formula unit; symmetry = No. 216; E = -85.19 eV/cell
1.0
6.7829 0.0000 0.0000
0.0000 6.7829 0.0000
0.0000 0.0000 6.7829
Ta Fe Hg Bi
4 4 4 4
direct
0.0000 0.0000 0.0000
0.0000 0.5000 0.5000
0.5000 0.0000 0.5000
0.5000 0.5000 0.0000
0.2500 0.2500 0.7500
0.2500 0.7500 0.2500
0.7500 0.2500 0.2500
0.7500 0.7500 0.7500
0.2500 0.2500 0.2500
0.2500 0.7500 0.7500
0.7500 0.2500 0.7500
0.7500 0.7500 0.2500
0.0000 0.0000 0.5000
0.0000 0.5000 0.0000
0.5000 0.0000 0.0000
0.5000 0.5000 0.5000



TaFeHgBi | OQMD via LeMat-Bulk | PBE | optimized geometry; spin magnetization = 2.08 μB per formula unit; symmetry = No. 216; E = -85.89 eV/cell
1.0
6.7071 0.0000 0.0000
0.0000 6.7071 0.0000
0.0000 0.0000 6.7071
Ta Fe Hg Bi
4 4 4 4
direct
0.0000 0.0000 0.0000
0.0000 0.5000 0.5000
0.5000 0.0000 0.5000
0.5000 0.5000 0.0000
0.0000 0.0000 0.5000
0.0000 0.5000 0.0000
0.5000 0.0000 0.0000
0.5000 0.5000 0.5000
0.2500 0.2500 0.7500
0.2500 0.7500 0.2500
0.7500 0.2500 0.2500
0.7500 0.7500 0.7500
0.2500 0.2500 0.2500
0.2500 0.7500 0.7500
0.7500 0.2500 0.7500
0.7500 0.7500 0.2500



YFeHgBi | OQMD via LeMat-Bulk | PBE | optimized geometry; spin magnetization = 2.24 μB per formula unit; symmetry = No. 216; E = -75.99 eV/cell
1.0
7.1755 0.0000 0.0000
0.0000 7.1755 0.0000
0.0000 0.0000 7.1755
Y Fe Hg Bi
4 4 4 4
direct
0.0000 0.0000 0.0000
0.0000 0.5000 0.5000
0.5000 0.0000 0.5000
0.5000 0.5000 0.0000
0.0000 0.0000 0.5000
0.0000 0.5000 0.0000
0.5000 0.0000 0.0000
0.5000 0.5000 0.5000
0.2500 0.2500 0.7500
0.2500 0.7500 0.2500
0.7500 0.2500 0.2500
0.7500 0.7500 0.7500
0.2500 0.2500 0.2500
0.2500 0.7500 0.7500
0.7500 0.2500 0.7500
0.7500 0.7500 0.2500



YFeHgBi | OQMD via LeMat-Bulk | PBE | optimized geometry; spin magnetization = 2.00 μB per formula unit; symmetry = No. 216; E = -74.77 eV/cell
1.0
7.2006 0.0000 0.0000
0.0000 7.2006 0.0000
0.0000 0.0000 7.2006
Y Fe Hg Bi
4 4 4 4
direct
0.0000 0.0000 0.0000
0.0000 0.5000 0.5000
0.5000 0.0000 0.5000
0.5000 0.5000 0.0000
0.2500 0.2500 0.7500
0.2500 0.7500 0.2500
0.7500 0.2500 0.2500
0.7500 0.7500 0.7500
0.2500 0.2500 0.2500
0.2500 0.7500 0.7500
0.7500 0.2500 0.7500
0.7500 0.7500 0.2500
0.0000 0.0000 0.5000
0.0000 0.5000 0.0000
0.5000 0.0000 0.0000
0.5000 0.5000 0.5000



ZrFeHgBi | OQMD via LeMat-Bulk | PBE | optimized geometry; spin magnetization = 1.75 μB per formula unit; symmetry = No. 216; E = -80.23 eV/cell
1.0
6.9452 0.0000 0.0000
0.0000 6.9452 0.0000
0.0000 0.0000 6.9452
Zr Fe Hg Bi
4 4 4 4
direct
0.0000 0.0000 0.0000
0.0000 0.5000 0.5000
0.5000 0.0000 0.5000
0.5000 0.5000 0.0000
0.0000 0.0000 0.5000
0.0000 0.5000 0.0000
0.5000 0.0000 0.0000
0.5000 0.5000 0.5000
0.2500 0.2500 0.7500
0.2500 0.7500 0.2500
0.7500 0.2500 0.2500
0.7500 0.7500 0.7500
0.2500 0.2500 0.2500
0.2500 0.7500 0.7500
0.7500 0.2500 0.7500
0.7500 0.7500 0.2500



> Number 6 is which compound?

ScFeHgBi



> Which of these has the highest spin magnetization?

FeHg2Bi



> Which of these has the lowest E?

number 9